An optimized crystal structure of Th5Pb3N. Source: Alexandria via LeMat-Bulk, functional GGA-PBE.

Geometry as POSCAR:
```
Th5Pb3N
1.0
9.482 0.000 0.000
-4.741 8.212 0.000
0.000 0.000 6.483
Th Pb N
10 6 2
Direct
0.000 0.219 0.250 Th
0.000 0.781 0.750 Th
0.219 0.000 0.250 Th
0.219 0.219 0.750 Th
0.333 0.667 0.000 Th
0.333 0.667 0.500 Th
0.667 0.333 0.000 Th
0.667 0.333 0.500 Th
0.781 0.000 0.750 Th
0.781 0.781 0.250 Th
0.000 0.399 0.750 Pb
0.000 0.601 0.250 Pb
0.399 0.000 0.750 Pb
0.399 0.399 0.250 Pb
0.601 0.000 0.250 Pb
0.601 0.601 0.750 Pb
0.000 0.000 0.000 N
0.000 0.000 0.500 N
```

Results
SG ... No. 193
E_form (uncorrected) ... -5.372 eV/f.u.
Uncorrected energy ... -123.844 eV per cell